Crystalline RbTeO3 at its relaxed geometry, computed with GGA-PBE.

Computed properties:
Energy relative to the elements, uncorrected, eV/f.u.: -5.30
Electronic total energy, eV for the cell shown: -97.150

The structure in CIF format:
```
data_RbTeO3
_symmetry_space_group_name_H-M 'P 1'
_symmetry_Int_Tables_number 1
_cell_length_a 7.7566
_cell_length_b 6.6426
_cell_length_c 7.6346
_cell_angle_alpha 90.00
_cell_angle_beta 90.00
_cell_angle_gamma 90.00
loop_
_symmetry_equiv_pos_as_xyz
'x,y,z'
loop_
_atom_site_label
_atom_site_type_symbol
_atom_site_fract_x
_atom_site_fract_y
_atom_site_fract_z
Rb1 Rb 0.0000 0.0000 0.0000
Rb2 Rb 0.0000 0.5000 0.0000
Rb3 Rb 0.5000 0.0000 0.5000
Rb4 Rb 0.5000 0.5000 0.5000
Te1 Te 0.0030 0.2500 0.4651
Te2 Te 0.4970 0.7500 0.9651
Te3 Te 0.5030 0.2500 0.0349
Te4 Te 0.9970 0.7500 0.5349
O1 O 0.1234 0.0420 0.6086
O2 O 0.1234 0.4580 0.6086
O3 O 0.1357 0.2500 0.2664
O4 O 0.3643 0.7500 0.7664
O5 O 0.3766 0.5420 0.1086
O6 O 0.3766 0.9580 0.1086
O7 O 0.6234 0.0420 0.8914
O8 O 0.6234 0.4580 0.8914
O9 O 0.6357 0.2500 0.2336
O10 O 0.8643 0.7500 0.7336
O11 O 0.8766 0.5420 0.3914
O12 O 0.8766 0.9580 0.3914
```